# PBE-GGA Cs2LaAuBr6, optimized geometry
data_Cs2LaAuBr6
_chemical_formula_sum 'Cs4 La2 Au2 Br12'
_cell_length_a 8.0982
_cell_length_b 8.0982
_cell_length_c 12.0402
_cell_angle_alpha 90.00
_cell_angle_beta 90.00
_cell_angle_gamma 90.00
_space_group_name_H-M_alt 'I 4/m m m'
_space_group_IT_number 139
_space_group_name_Hall '-I 4 2'
loop_
_atom_site_label
_atom_site_fract_x
_atom_site_fract_y
_atom_site_fract_z
_atom_site_occupancy
Cs1 0.0000 0.5000 0.2500 1
La1 0.0000 0.0000 0.0000 1
Au1 0.0000 0.0000 0.5000 1
Br1 0.0000 0.0000 0.2427 1
Br2 0.2440 0.2440 0.5000 1
# - Theoretical density: 4.55 g/cm3
# - DFT total energy: -3.483 eV per atom